No. 1
Material: HoGa4Ni2Ir
Method: DFT, PBE
State: optimized geometry

abc: 9.066 9.066 9.066
angles: 26.28 26.28 26.28
Positions (direct):
Ho1 0.000 0.000 0.000
Ga1 0.128 0.128 0.128
Ga2 0.400 0.400 0.400
Ga3 0.600 0.600 0.600
Ga4 0.872 0.872 0.872
Ni1 0.232 0.232 0.232
Ni2 0.768 0.768 0.768
Ir1 0.500 0.500 0.500

Calculated values
Total DFT energy (no corrections): -40.8 eV/cell
Space group: R-3m
D(E_F): 4.87 states/eV per cell



No. 2
Material: LaMg5Sn2
Method: DFT, PBE
State: optimized geometry

abc: 4.461 8.731 10.677
angles: 90.00 90.00 90.00
Positions (direct):
La1 0.000 0.000 0.000
La2 0.500 0.500 0.500
Mg1 0.000 0.182 0.354
Mg2 0.000 0.182 0.646
Mg3 0.000 0.500 0.000
Mg4 0.000 0.818 0.354
Mg5 0.000 0.818 0.646
Mg6 0.500 0.000 0.500
Mg7 0.500 0.318 0.146
Mg8 0.500 0.318 0.854
Mg9 0.500 0.682 0.146
Mg10 0.500 0.682 0.854
Sn1 0.000 0.500 0.270
Sn2 0.000 0.500 0.730
Sn3 0.500 0.000 0.230
Sn4 0.500 0.000 0.770

Calculated values
Total DFT energy (no corrections): -46.0 eV/cell
Space group: Immm
D(E_F): 6.07 states/eV per cell



No. 3
Material: AuS3F
Method: DFT, PBE
State: optimized geometry

abc: 4.428 4.428 4.428
angles: 90.00 90.00 90.00
Positions (direct):
Au1 0.000 0.000 0.000
S1 0.000 0.500 0.500
S2 0.500 0.000 0.500
S3 0.500 0.500 0.000
F1 0.500 0.500 0.500

Calculated values
Raw formation energy: 1.089 eV/atom
Total DFT energy (no corrections): -12.1 eV/cell
Space group: Pm-3m
D(E_F): 5.62 states/eV per cell



No. 4
Material: SrCoH4
Method: DFT, PBE
State: optimized geometry

abc: 5.278 5.278 4.809
angles: 90.77 90.77 107.67
Positions (direct):
Sr1 0.193 0.807 0.750
Sr2 0.807 0.193 0.250
Co1 0.430 0.570 0.250
Co2 0.570 0.430 0.750
H1 0.155 0.579 0.165
H2 0.301 0.408 0.540
H3 0.408 0.301 0.040
H4 0.421 0.845 0.335
H5 0.579 0.155 0.665
H6 0.592 0.699 0.960
H7 0.699 0.592 0.460
H8 0.845 0.421 0.835

Calculated values
Total DFT energy (no corrections): -47.7 eV/cell
Space group: C2/c
D(E_F): 4.43 states/eV per cell



No. 5
Material: Tl2NiRh
Method: DFT, PBE
State: optimized geometry

abc: 6.592 6.592 6.592
angles: 90.00 90.00 90.00
Positions (direct):
Tl1 0.250 0.250 0.250
Tl2 0.250 0.250 0.750
Tl3 0.250 0.750 0.250
Tl4 0.250 0.750 0.750
Tl5 0.750 0.250 0.250
Tl6 0.750 0.250 0.750
Tl7 0.750 0.750 0.250
Tl8 0.750 0.750 0.750
Ni1 0.000 0.000 0.000
Ni2 0.000 0.500 0.500
Ni3 0.500 0.000 0.500
Ni4 0.500 0.500 0.000
Rh1 0.000 0.000 0.500
Rh2 0.000 0.500 0.000
Rh3 0.500 0.000 0.000
Rh4 0.500 0.500 0.500

Calculated values
Total DFT energy (no corrections): -67.4 eV/cell
Space group: Fm-3m
D(E_F): 12.86 states/eV per cell



No. 6
Material: Ga2CuAsO
Method: DFT, PBE
State: optimized geometry

abc: 4.373 4.373 4.320
angles: 90.00 90.00 90.00
Positions (direct):
Ga1 0.000 0.500 0.000
Ga2 0.500 0.000 0.000
Cu1 0.000 0.000 0.500
As1 0.500 0.500 0.500
O1 0.500 0.500 0.000

Calculated values
Raw formation energy: 0.092 eV/atom
Total DFT energy (no corrections): -19.3 eV/cell
Space group: P4/mmm
D(E_F): 1.82 states/eV per cell



No. 7
Material: PuUSeN2
Method: DFT, PBE
State: optimized geometry

abc: 3.815 3.815 12.051
angles: 90.00 90.00 90.00
Positions (direct):
Pu1 0.000 0.000 0.000
Pu2 0.500 0.500 0.500
U1 0.000 0.000 0.307
U2 0.500 0.500 0.807
Se1 0.000 0.000 0.651
Se2 0.500 0.500 0.151
N1 0.000 0.500 0.394
N2 0.000 0.500 0.894
N3 0.500 0.000 0.394
N4 0.500 0.000 0.894

Calculated values
Raw formation energy: -1.458 eV/atom
Total DFT energy (no corrections): -106.1 eV/cell
Space group: I4mm
D(E_F): 18.49 states/eV per cell



No. 8
Material: Ca2MgAl3
Method: DFT, PBE
State: optimized geometry

abc: 9.984 5.797 5.792
angles: 90.00 125.05 90.00
Positions (direct):
Ca1 0.123 0.000 0.378
Ca2 0.377 0.500 0.622
Ca3 0.623 0.500 0.378
Ca4 0.877 0.000 0.622
Mg1 0.000 0.500 0.000
Mg2 0.500 0.000 0.000
Al1 0.000 0.500 0.500
Al2 0.250 0.250 0.000
Al3 0.250 0.750 0.000
Al4 0.500 0.000 0.500
Al5 0.750 0.250 0.000
Al6 0.750 0.750 0.000

Calculated values
Total DFT energy (no corrections): -36.8 eV/cell
Space group: C2/m
D(E_F): 5.30 states/eV per cell



No. 9
Material: BeInCl2
Method: DFT, PBE
State: optimized geometry

abc: 3.033 3.033 10.498
angles: 90.00 90.00 90.00
Positions (direct):
Be1 0.000 0.000 0.000
In1 0.000 0.000 0.500
Cl1 0.500 0.500 0.135
Cl2 0.500 0.500 0.865

Calculated values
Raw formation energy: -0.122 eV/atom
Total DFT energy (no corrections): -10.6 eV/cell
Space group: P4/mmm
D(E_F): 1.22 states/eV per cell



No. 10
Material: Rb3Nd2MnSe6
Method: DFT, PBE
State: optimized geometry

abc: 7.304 7.304 8.412
angles: 99.20 99.20 118.25
Positions (direct):
Rb1 0.000 0.000 0.000
Rb2 0.327 0.673 0.000
Rb3 0.673 0.327 0.000
Nd1 0.163 0.837 0.500
Nd2 0.837 0.163 0.500
Mn1 0.500 0.500 0.500
Se1 0.144 0.440 0.317
Se2 0.238 0.238 0.713
Se3 0.440 0.144 0.317
Se4 0.560 0.856 0.683
Se5 0.762 0.762 0.287
Se6 0.856 0.560 0.683

Calculated values
Raw formation energy: -1.334 eV/atom
Total DFT energy (no corrections): -58.5 eV/cell
Space group: C2/m
D(E_F): 0.04 states/eV per cell



Magnetic moment list, top to bottom, in μB/cell: 0.000, 0.000, 0.461, 0.423, 0.000, 0.000, 12.000, 0.000, 0.000, 3.997